Entry 1:
{"formula": "NaCu3H", "functional": "PBE", "state": "optimized geometry", "lattice": [[4.819, 0.000, 0.000], [0.000, 4.819, 0.000], [0.000, 0.000, 4.819]], "species": ["Na", "Cu", "Cu", "Cu", "H"], "frac_coords": [[0.000, 0.000, 0.000], [0.000, 0.000, 0.500], [0.000, 0.500, 0.000], [0.500, 0.000, 0.000], [0.500, 0.500, 0.500]], "spacegroup": "Pm-3m (221)", "polymorph_energy_mev_per_atom": 1412, "dft_energy_ev_per_cell": -8.3}



Entry 2:
{"formula": "Ac12La3Sm", "functional": "PBE", "state": "optimized geometry", "lattice": [[5.556, 0.000, 0.000], [0.000, 5.556, 0.000], [0.000, 0.000, 22.170]], "species": ["Ac", "Ac", "Ac", "Ac", "Ac", "Ac", "Ac", "Ac", "Ac", "Ac", "Ac", "Ac", "La", "La", "La", "Sm"], "frac_coords": [[0.000, 0.000, 0.000], [0.000, 0.000, 0.249], [0.000, 0.000, 0.500], [0.000, 0.000, 0.751], [0.000, 0.500, 0.124], [0.000, 0.500, 0.375], [0.000, 0.500, 0.625], [0.000, 0.500, 0.876], [0.500, 0.000, 0.124], [0.500, 0.000, 0.375], [0.500, 0.000, 0.625], [0.500, 0.000, 0.876], [0.500, 0.500, 0.249], [0.500, 0.500, 0.500], [0.500, 0.500, 0.751], [0.500, 0.500, 0.000]], "delta_e_f_ev_per_atom": 0.020, "spacegroup": "P4/mmm (123)", "dft_energy_ev_per_cell": -68.5}



Entry 3:
{"formula": "InS2BrN", "functional": "PBE", "state": "optimized geometry", "lattice": [[5.137, 0.000, 0.000], [0.000, 5.137, 0.000], [0.000, 0.000, 3.994]], "species": ["In", "S", "S", "Br", "N"], "frac_coords": [[0.000, 0.000, 0.000], [0.000, 0.500, 0.500], [0.500, 0.000, 0.500], [0.500, 0.500, 0.500], [0.500, 0.500, 0.000]], "spacegroup": "P4/mmm (123)", "polymorph_energy_mev_per_atom": 154, "dft_energy_ev_per_cell": -14.6}



Entry 4:
{"formula": "Ho2Tm2Ru", "functional": "PBE", "state": "optimized geometry", "lattice": [[3.648, -5.871, 0.000], [3.648, 5.871, 0.000], [-3.117, 0.000, 6.507]], "species": ["Ho", "Ho", "Ho", "Ho", "Tm", "Tm", "Tm", "Tm", "Ru", "Ru"], "frac_coords": [[0.174, 0.729, 0.747], [0.271, 0.826, 0.253], [0.729, 0.174, 0.747], [0.826, 0.271, 0.253], [0.243, 0.243, 0.602], [0.272, 0.272, 0.107], [0.728, 0.728, 0.893], [0.757, 0.757, 0.398], [0.374, 0.626, 0.500], [0.626, 0.374, 0.500]], "delta_e_f_ev_per_atom": -0.189, "spacegroup": "C2/m (12)", "dft_energy_ev_per_cell": -56.6}



Entry 5:
{"formula": "BaPrTl4", "functional": "PBE", "state": "optimized geometry", "lattice": [[0.000, 4.568, 4.568], [4.568, 0.000, 4.568], [4.568, 4.568, 0.000]], "species": ["Ba", "Pr", "Tl", "Tl", "Tl", "Tl"], "frac_coords": [[0.000, 0.000, 0.000], [0.750, 0.750, 0.750], [0.375, 0.375, 0.375], [0.375, 0.375, 0.874], [0.375, 0.874, 0.375], [0.874, 0.375, 0.375]], "delta_e_f_ev_per_atom": -0.210, "spacegroup": "F-43m (216)", "dft_energy_ev_per_cell": -17.4}



Entry 6:
{"formula": "VCu2Rh3", "functional": "PBE", "state": "optimized geometry", "lattice": [[2.133, -6.393, 0.000], [2.133, 6.393, 0.000], [0.000, 0.000, 5.886]], "species": ["V", "V", "Cu", "Cu", "Cu", "Cu", "Rh", "Rh", "Rh", "Rh", "Rh", "Rh"], "frac_coords": [[0.158, 0.842, 0.000], [0.842, 0.158, 0.000], [0.168, 0.832, 0.500], [0.500, 0.500, 0.000], [0.500, 0.500, 0.500], [0.832, 0.168, 0.500], [0.000, 0.000, 0.253], [0.000, 0.000, 0.747], [0.329, 0.671, 0.242], [0.329, 0.671, 0.758], [0.671, 0.329, 0.242], [0.671, 0.329, 0.758]], "delta_e_f_ev_per_atom": -0.167, "spacegroup": "Cmmm (65)", "dft_energy_ev_per_cell": -80.7}



no.,DOS(E_F) (states/eV per atom)
1,0.4130
2,1.8575
3,0.6950
4,1.1983
5,0.8392
6,0.9532